Here is crystalline Al2SbPb at its relaxed geometry from the Alexandria database. Energies are from PBE.

a = 5.2612 Å, b = 5.2612 Å, c = 3.5398 Å
α = 90.01°, β = 90.01°, γ = 101.06°
Element x y z (fractional)
Pb 0.5000 0.0000 0.5000
Sb 0.0000 0.5000 0.5000
Al 0.0000 0.0000 0.0000
Al 0.5000 0.5000 0.0000

Computed properties:
Total moment in μB per formula unit: 0.00
Total energy in eV per atom: -3.574
Energy relative to the elements, uncorrected in eV/atom: 0.25
Relative energy among the computed polymorphs in meV per atom: 129
N(E_F) in states/eV/f.u.: 1.7